(1)
# SmGa3CuNi

A relaxed SmGa3CuNi crystal (PBE, Alexandria via LeMat-Bulk).

The space group is Cmcm (No. 63) and the conventional cell measures 5.998, 11.858 and 5.974 Å, with angles of 90.00, 90.00 and 90.00 degrees. The distinct sites, in fractional coordinates, are Sm at (0.000, 0.224, 0.250), Ga at (0.000, 0.350, 0.750), Ga at (0.212, 0.000, 0.000), Cu at (0.000, 0.143, 0.750) and Ni at (0.000, 0.443, 0.250).

For the magnetization, the calculation gives 0.000 μB/atom. As for the final energy: -101.670 eV/cell.


(2)
# BaCePd4

A relaxed BaCePd4 crystal (PBE, Alexandria via LeMat-Bulk).

The space group is F-43m (No. 216) and the conventional cell measures 7.940, 7.940 and 7.940 Å, with angles of 90.00, 90.00 and 90.00 degrees. The distinct sites, in fractional coordinates, are Ba at (0.000, 0.000, 0.000), Ce at (0.250, 0.250, 0.750) and Pd at (0.124, 0.124, 0.376).

For the magnetization, the calculation gives 0.182 μB/atom. As for the final energy: -127.803 eV/cell.


(3)
# Pm6Si2I3N

A relaxed Pm6Si2I3N crystal (PBE, Alexandria via LeMat-Bulk).

The space group is C2/m (No. 12) and the conventional cell measures 7.128, 12.327 and 8.085 Å, with angles of 90.00, 107.02 and 90.00 degrees. The distinct sites, in fractional coordinates, are Pm at (0.213, 0.152, 0.183), Pm at (0.244, 0.000, 0.815), Si at (0.000, 0.334, 0.000), I at (0.000, 0.172, 0.500), I at (0.000, 0.500, 0.500) and N at (0.000, 0.000, 0.000).

The formation energy (no corrections) comes out at -23.35 kcal/mol of atoms. For the magnetization, the calculation gives 0.000 μB/atom.